The following is a DFT calculation (SCAN) of a crystal of Zn2NiCl relaxed with PBEsol.

For the uncorrected formation energy, the calculation gives 0.21 eV per atom. The total DFT energy (no corrections) comes out at -50.323 eV/cell. As for the offset from the most stable computed form: 109 meV per atom.

It has space group Pmmm (No. 47), with a = 2.814 Å, b = 3.998 Å, c = 5.273 Å, α = 90.00°, β = 90.00° and γ = 90.00°. The inequivalent atoms are Zn at (0.000, 0.000, 0.000), Zn at (0.500, 0.500, 0.000), Ni at (0.000, 0.500, 0.500) and Cl at (0.500, 0.000, 0.500).